1.
PmNi4Ge GGA-PBE optimized geometry; formation energy = -0.3107 eV per atom; SG = Pmma, No. 51; total magnetic moment = 0.0 μB per formula unit; volume = 15.0 Å³ per atom; DFT total energy = -0.421 Ry/atom
1.0
7.111 0.000 0.000
0.000 3.744 0.000
0.000 0.000 6.774
Pm Ni Ge
2 8 2
direct
0.250 0.000 0.141
0.750 0.000 0.859
0.000 0.000 0.500
0.051 0.500 0.773
0.250 0.500 0.460
0.449 0.500 0.773
0.500 0.000 0.500
0.551 0.500 0.227
0.750 0.500 0.540
0.949 0.500 0.227
0.250 0.000 0.714
0.750 0.000 0.286

2.
KPrCl3 GGA-PBE optimized geometry; SG = Pm-3m, No. 221; total magnetic moment = 0.0 μB per formula unit; volume = 34.9 Å³ per atom; E_form (uncorrected) = -1.84 eV per atom; DFT total energy = -0.303 Ry/atom
1.0
5.589 0.000 0.000
0.000 5.589 0.000
0.000 0.000 5.589
K Pr Cl
1 1 3
direct
0.000 0.000 0.000
0.500 0.500 0.500
0.000 0.500 0.500
0.500 0.000 0.500
0.500 0.500 0.000

3.
Sc2AlTl3Se6 GGA-PBE optimized geometry; SG = C2/m, No. 12; total magnetic moment = 0.0 μB per formula unit; volume = 26.0 Å³ per atom; E_form (uncorrected) = -1.04 eV per atom; DFT total energy = -0.349 Ry/atom
1.0
3.411 -5.900 0.000
3.411 5.900 0.000
-2.273 0.000 7.736
Sc Al Tl Se
2 1 3 6
direct
0.166 0.834 0.000
0.834 0.166 0.000
0.500 0.500 0.000
0.000 0.000 0.500
0.328 0.672 0.500
0.672 0.328 0.500
0.120 0.438 0.813
0.245 0.245 0.192
0.438 0.120 0.813
0.562 0.880 0.187
0.755 0.755 0.808
0.880 0.562 0.187

4.
LaSiSe2Br GGA-PBE optimized geometry; SG = P4/mmm, No. 123; total magnetic moment = 0.1 μB per formula unit; volume = 38.1 Å³ per atom; E_form (uncorrected) = -0.20 eV per atom; DFT total energy = -0.294 Ry/atom
1.0
5.806 0.000 0.000
0.000 5.806 0.000
0.000 0.000 5.648
La Si Se Br
1 1 2 1
direct
0.000 0.000 0.000
0.500 0.500 0.500
0.000 0.500 0.000
0.500 0.000 0.000
0.000 0.000 0.500